# La2ZnAuC (GGA-PBE, relaxed)
data_La2ZnAuC
_cell_length_a 5.784
_cell_length_b 5.784
_cell_length_c 3.601
_cell_angle_alpha 90.00
_cell_angle_beta 90.00
_cell_angle_gamma 90.00
_symmetry_space_group_name_H-M 'P 1'
_symmetry_Int_Tables_number 1
loop_
_symmetry_equiv_pos_as_xyz
'x,y,z'
loop_
_atom_site_label
_atom_site_type_symbol
_atom_site_fract_x
_atom_site_fract_y
_atom_site_fract_z
La1 La 0.000 0.500 0.000
La2 La 0.500 0.000 0.000
Zn1 Zn 0.000 0.000 0.000
Au1 Au 0.500 0.500 0.500
C1 C 0.000 0.000 0.500
# - Volume: 120.46 Å³/cell
# - Energy above the most stable polymorph in this dataset: 607 meV/atom
# - Magnetization: 0.00 μB per formula unit
# - D(E_F): 6.477 states/eV/f.u.
# - Calculated formation energy: 0.307 eV per atom
# - DFT total energy: -4.419 eV per atom

# CsMnAl2 (GGA-PBE, relaxed)
data_CsMnAl2
_cell_length_a 7.029
_cell_length_b 7.029
_cell_length_c 7.029
_cell_angle_alpha 90.00
_cell_angle_beta 90.00
_cell_angle_gamma 90.00
_symmetry_space_group_name_H-M 'P 1'
_symmetry_Int_Tables_number 1
loop_
_symmetry_equiv_pos_as_xyz
'x,y,z'
loop_
_atom_site_label
_atom_site_type_symbol
_atom_site_fract_x
_atom_site_fract_y
_atom_site_fract_z
Cs1 Cs 0.000 0.000 0.000
Cs2 Cs 0.000 0.500 0.500
Cs3 Cs 0.500 0.000 0.500
Cs4 Cs 0.500 0.500 0.000
Mn1 Mn 0.000 0.000 0.500
Mn2 Mn 0.000 0.500 0.000
Mn3 Mn 0.500 0.000 0.000
Mn4 Mn 0.500 0.500 0.500
Al1 Al 0.250 0.250 0.250
Al2 Al 0.250 0.250 0.750
Al3 Al 0.250 0.750 0.250
Al4 Al 0.250 0.750 0.750
Al5 Al 0.750 0.250 0.250
Al6 Al 0.750 0.250 0.750
Al7 Al 0.750 0.750 0.250
Al8 Al 0.750 0.750 0.750
# - Volume: 347.33 Å³/cell
# - Magnetization: 3.86 μB per formula unit
# - D(E_F): 3.384 states/eV/f.u.
# - Calculated formation energy: 1.012 eV per atom
# - DFT total energy: -3.365 eV per atom

# GaSbTeN2 (GGA-PBE, relaxed)
data_GaSbTeN2
_cell_length_a 4.174
_cell_length_b 4.174
_cell_length_c 5.570
_cell_angle_alpha 90.00
_cell_angle_beta 90.00
_cell_angle_gamma 90.00
_symmetry_space_group_name_H-M 'P 1'
_symmetry_Int_Tables_number 1
loop_
_symmetry_equiv_pos_as_xyz
'x,y,z'
loop_
_atom_site_label
_atom_site_type_symbol
_atom_site_fract_x
_atom_site_fract_y
_atom_site_fract_z
Ga1 Ga 0.000 0.000 0.000
Sb1 Sb 0.500 0.500 0.500
Te1 Te 0.000 0.000 0.500
N1 N 0.000 0.500 0.000
N2 N 0.500 0.000 0.000
# - Formation energy (no corrections): 1304.5 meV per atom
# - Volume: 97.03 Å³/cell
# - Energy above the most stable polymorph in this dataset: 180 meV/atom
# - Magnetization: 2.19 μB per formula unit
# - D(E_F): 2.459 states/eV/f.u.
# - DFT total energy: -4.084 eV per atom

# Ca2Zn3Ga5 (GGA-PBE, relaxed)
data_Ca2Zn3Ga5
_cell_length_a 4.251
_cell_length_b 4.251
_cell_length_c 10.985
_cell_angle_alpha 90.00
_cell_angle_beta 90.00
_cell_angle_gamma 90.00
_symmetry_space_group_name_H-M 'P 1'
_symmetry_Int_Tables_number 1
loop_
_symmetry_equiv_pos_as_xyz
'x,y,z'
loop_
_atom_site_label
_atom_site_type_symbol
_atom_site_fract_x
_atom_site_fract_y
_atom_site_fract_z
Ca1 Ca 0.000 0.500 0.246
Ca2 Ca 0.500 0.000 0.754
Zn1 Zn 0.000 0.000 0.000
Zn2 Zn 0.000 0.500 0.867
Zn3 Zn 0.500 0.000 0.133
Ga1 Ga 0.000 0.000 0.500
Ga2 Ga 0.000 0.500 0.642
Ga3 Ga 0.500 0.000 0.358
Ga4 Ga 0.500 0.500 0.000
Ga5 Ga 0.500 0.500 0.500
# - Volume: 198.51 Å³/cell
# - Energy above the most stable polymorph in this dataset: 16 meV/atom
# - Magnetization: 0.00 μB per formula unit
# - D(E_F): 3.839 states/eV/f.u.
# - Calculated formation energy: -0.340 eV per atom
# - DFT total energy: -2.636 eV per atom